P | Crystalline BeFeBAu at its relaxed geometry, computed with PBE.

Computed properties:
SG = F-43m, No. 216

Cell: 4.0177 4.0177 4.0177 Å, 60.00 60.00 60.00°
Positions (direct):
1 B 0.0000 0.0000 0.0000
2 Au 0.5000 0.5000 0.5000
3 Fe 0.7500 0.7500 0.7500
4 Be 0.2500 0.2500 0.2500


Q | Crystalline BeFeBAu at its relaxed geometry, computed with PBE.

Computed properties:
SG = F-43m, No. 216

Cell: 3.8610 3.8610 3.8610 Å, 60.00 60.00 60.00°
Positions (direct):
1 Be 0.5000 0.5000 0.5000
2 B 0.0000 0.0000 0.0000
3 Fe 0.7500 0.7500 0.7500
4 Au 0.2500 0.2500 0.2500


Q has the most favorable energy; the next structure is 330 meV/atom above.


P | Crystalline BeHgBAu at its relaxed geometry, computed with PBE.

Computed properties:
SG = F-43m, No. 216

Cell: 4.4314 4.4314 4.4314 Å, 60.00 60.00 60.00°
Positions (direct):
1 Be 0.5000 0.5000 0.5000
2 Au 0.7500 0.7500 0.7500
3 Hg 0.0000 0.0000 0.0000
4 B 0.2500 0.2500 0.2500


Q | Crystalline BeHgBAu at its relaxed geometry, computed with PBE.

Computed properties:
SG = F-43m, No. 216

Cell: 4.2890 4.2890 4.2890 Å, 60.00 60.00 60.00°
Positions (direct):
1 Hg 0.2500 0.2500 0.2500
2 Be 0.5000 0.5000 0.5000
3 Au 0.7500 0.7500 0.7500
4 B 0.0000 0.0000 0.0000


Q has the most favorable energy; the next structure is 182 meV/atom above.


P | Crystalline BeZnBAu at its relaxed geometry, computed with PBE.

Computed properties:
SG = F-43m, No. 216

Cell: 4.0481 4.0481 4.0481 Å, 60.00 60.00 60.00°
Positions (direct):
1 B 0.0000 0.0000 0.0000
2 Be 0.5000 0.5000 0.5000
3 Au 0.7500 0.7500 0.7500
4 Zn 0.2500 0.2500 0.2500


Q | Crystalline BeZnBAu at its relaxed geometry, computed with PBE.

Computed properties:
SG = F-43m, No. 216

Cell: 4.1398 4.1398 4.1398 Å, 60.00 60.00 60.00°
Positions (direct):
1 Be 0.5000 0.5000 0.5000
2 Au 0.7500 0.7500 0.7500
3 Zn 0.0000 0.0000 0.0000
4 B 0.2500 0.2500 0.2500


P has the most favorable energy; the next structure is 93 meV/atom above.


P | Crystalline CdB4Au at its relaxed geometry, computed with PBE.

Computed properties:
SG = P6/mmm, No. 191

Cell: 3.0861 3.0861 8.0390 Å, 90.00 90.00 120.00°
Positions (direct):
1 Au 0.0000 0.0000 0.5000
2 B 0.6667 0.3333 0.2528
3 B 0.3333 0.6667 0.7472
4 B 0.3333 0.6667 0.2528
5 B 0.6667 0.3333 0.7472
6 Cd 0.0000 0.0000 0.0000


Q | Crystalline CdB4Au at its relaxed geometry, computed with PBE.

Computed properties:
SG = Immm, No. 71

Cell: 5.1112 5.1112 5.1112 Å, 144.93 117.84 73.42°
Positions (direct):
1 B 0.4147 0.7462 0.6685
2 B 0.9224 0.2538 0.6685
3 B 0.5853 0.2538 0.3315
4 B 0.0776 0.7462 0.3315
5 Cd 0.0000 0.0000 0.0000
6 Au 0.5000 0.5000 0.0000


Q has the most favorable energy; the next structure is 30 meV/atom above.


P | Crystalline LuCoBAu at its relaxed geometry, computed with PBE.

Computed properties:
SG = F-43m, No. 216

Cell: 4.3921 4.3921 4.3921 Å, 60.00 60.00 60.00°
Positions (direct):
1 Lu 0.5000 0.5000 0.5000
2 B 0.0000 0.0000 0.0000
3 Au 0.2500 0.2500 0.2500
4 Co 0.7500 0.7500 0.7500


Q | Crystalline LuCoBAu at its relaxed geometry, computed with PBE.

Computed properties:
SG = F-43m, No. 216

Cell: 4.4559 4.4559 4.4559 Å, 60.00 60.00 60.00°
Positions (direct):
1 B 0.0000 0.0000 0.0000
2 Lu 0.2500 0.2500 0.2500
3 Co 0.7500 0.7500 0.7500
4 Au 0.5000 0.5000 0.5000


Q has the most favorable energy; the next structure is 121 meV/atom above.


P | Crystalline NbCoBAu at its relaxed geometry, computed with PBE.

Computed properties:
SG = F-43m, No. 216

Cell: 4.1963 4.1963 4.1963 Å, 60.00 60.00 60.00°
Positions (direct):
1 Co 0.0000 0.0000 0.0000
2 Nb 0.2500 0.2500 0.2500
3 Au 0.7500 0.7500 0.7500
4 B 0.5000 0.5000 0.5000


Q | Crystalline NbCoBAu at its relaxed geometry, computed with PBE.

Computed properties:
SG = F-43m, No. 216

Cell: 4.2746 4.2746 4.2746 Å, 60.00 60.00 60.00°
Positions (direct):
1 Au 0.7500 0.7500 0.7500
2 B 0.0000 0.0000 0.0000
3 Nb 0.5000 0.5000 0.5000
4 Co 0.2500 0.2500 0.2500


P has the most favorable energy; the next structure is 349 meV/atom above.


P | Crystalline YCoBAu at its relaxed geometry, computed with PBE.

Computed properties:
SG = F-43m, No. 216

Cell: 4.4759 4.4759 4.4759 Å, 60.00 60.00 60.00°
Positions (direct):
1 Y 0.5000 0.5000 0.5000
2 Au 0.2500 0.2500 0.2500
3 Co 0.7500 0.7500 0.7500
4 B 0.0000 0.0000 0.0000


Q | Crystalline YCoBAu at its relaxed geometry, computed with PBE.

Computed properties:
SG = F-43m, No. 216

Cell: 4.5205 4.5205 4.5205 Å, 60.00 60.00 60.00°
Positions (direct):
1 B 0.0000 0.0000 0.0000
2 Co 0.7500 0.7500 0.7500
3 Au 0.5000 0.5000 0.5000
4 Y 0.2500 0.2500 0.2500


Q has the most favorable energy; the next structure is 158 meV/atom above.


P | Crystalline ZnCoBAu at its relaxed geometry, computed with PBE.

Computed properties:
SG = F-43m, No. 216

Cell: 4.0958 4.0958 4.0958 Å, 60.00 60.00 60.00°
Positions (direct):
1 B 0.0000 0.0000 0.0000
2 Co 0.7500 0.7500 0.7500
3 Au 0.2500 0.2500 0.2500
4 Zn 0.5000 0.5000 0.5000


Q | Crystalline ZnCoBAu at its relaxed geometry, computed with PBE.

Computed properties:
SG = F-43m, No. 216

Cell: 4.1554 4.1554 4.1554 Å, 60.00 60.00 60.00°
Positions (direct):
1 Zn 0.2500 0.2500 0.2500
2 Co 0.7500 0.7500 0.7500
3 Au 0.5000 0.5000 0.5000
4 B 0.0000 0.0000 0.0000


P has the most favorable energy; the next structure is 142 meV/atom above.